YTaO3, optimized geometry, DFT PBE; size of the total moment = 0.00 Bohr magnetons per cell; crystal system = cubic; formation energy without anion corrections = -2433 meV/atom; SG = Pm-3m, No. 221
1.0
3.999 0.000 0.000
0.000 3.999 0.000
0.000 0.000 3.999
Y O Ta
1 3 1
Cartesian
2.000 2.000 2.000
0.000 2.000 0.000
0.000 0.000 2.000
2.000 0.000 0.000
0.000 0.000 0.000


YTaO4, optimized geometry, DFT PBE; size of the total moment = 0.00 Bohr magnetons per cell; crystal system = monoclinic; formation energy without anion corrections = -3253 meV/atom; SG = P2/c, No. 13
1.0
5.544 0.000 0.000
0.000 5.159 -0.003
0.000 0.604 5.312
Y Ta O
2 2 8
Cartesian
1.287 0.453 3.984
4.257 0.151 1.328
3.837 3.033 3.983
1.707 2.731 1.326
5.059 4.233 3.192
5.059 1.833 4.773
0.484 1.531 2.117
0.484 3.931 0.536
2.409 4.068 2.638
2.409 1.394 0.015
3.135 1.696 2.671
3.135 4.370 5.294


Y11Ta5O28, optimized geometry, DFT PBE; size of the total moment = 2.02 Bohr magnetons per cell; crystal system = monoclinic; formation energy without anion corrections = -3305 meV/atom; SG = C2/m, No. 12
1.0
-5.648 2.327 2.055
-2.370 -6.870 1.266
7.490 3.246 10.141
Y Ta O
11 5 28
Cartesian
-0.036 0.606 3.218
-2.824 1.164 1.028
-0.841 -2.971 3.791
0.921 2.787 6.098
-1.787 -5.180 0.955
-0.583 -1.690 0.312
-0.264 -0.648 6.731
0.314 1.675 9.672
3.154 -0.052 5.620
-0.492 -1.902 10.245
-3.682 -1.244 7.843
-4.009 -2.271 1.661
2.690 -1.391 8.856
-4.472 -3.541 5.278
-3.218 0.095 4.607
3.945 2.244 8.185
1.763 -2.705 10.106
3.687 0.203 8.002
3.224 -0.703 10.778
4.168 2.034 10.273
-0.136 -2.831 5.872
1.003 0.622 5.253
1.519 1.622 11.642
0.265 -1.753 12.469
-1.458 -0.854 4.401
-1.083 0.206 10.998
-3.751 -0.593 2.685
-4.696 -3.330 3.189
0.231 4.014 10.296
-2.530 -3.963 4.974
-4.215 -1.500 5.461
-2.291 1.409 3.357
0.555 -1.502 2.465
0.930 -0.442 9.062
2.002 2.667 8.489
-2.617 0.332 6.464
-0.759 -5.310 3.167
-3.932 -3.481 7.167
-0.793 0.457 0.994
-0.392 1.535 7.590
-1.531 -1.919 8.210
-2.046 -2.919 1.821
3.404 2.185 6.296
2.089 -1.629 6.999


Q: The highest size of the total moment belongs to which entry?
A: Y11Ta5O28


Q: What is the formula in the first record?
A: YTaO3


What did the first record say?
YTaO3, optimized geometry, DFT PBE; size of the total moment = 0.00 Bohr magnetons per cell; crystal system = cubic; formation energy without anion corrections = -2433 meV/atom; SG = Pm-3m, No. 221
1.0
3.999 0.000 0.000
0.000 3.999 0.000
0.000 0.000 3.999
Y O Ta
1 3 1
Cartesian
2.000 2.000 2.000
0.000 2.000 0.000
0.000 0.000 2.000
2.000 0.000 0.000
0.000 0.000 0.000